Entry from Alexandria via LeMat-Bulk: a geometry-optimized Zr2ScCo structure (PBE-GGA).

Calculated values
* E_form: 17 kJ/mol of formula units
* crystal system: trigonal
* symmetry: No. 166
* VASP energy: -7.59 eV per atom

a b c (Å): 3.275 3.275 26.755
angles (deg): 90.00 90.00 120.00
Fractional positions:
1 Zr 0.000 0.000 0.233
2 Zr 0.000 0.000 0.767
3 Zr 0.333 0.667 0.434
4 Zr 0.333 0.667 0.899
5 Zr 0.667 0.333 0.101
6 Zr 0.667 0.333 0.566
7 Sc 0.000 0.000 0.000
8 Sc 0.333 0.667 0.667
9 Sc 0.667 0.333 0.333
10 Co 0.000 0.000 0.500
11 Co 0.333 0.667 0.167
12 Co 0.667 0.333 0.833